*A*
Compound: VS2N2
Source: the Alexandria database
Functional: PBE
Structure: relaxed Values from VASP.

Quantum ESPRESSO input file:
```
&SYSTEM
  ibrav = 0, nat = 5, ntyp = 3
/
ATOMIC_SPECIES
V 50.94 V.upf
S 32.06 S.upf
N 14.01 N.upf
ATOMIC_POSITIONS crystal
V 0.0000 0.0000 0.0000
S 0.3635 0.3635 0.1277
S 0.6365 0.6365 0.8723
N 0.4474 0.4474 0.5505
N 0.5526 0.5526 0.4495
CELL_PARAMETERS angstrom
-2.8378 -0.7601 -0.0406
0.7389 -2.7133 -0.8511
-1.5605 -6.8396 9.5962
```

=====

*B*
Compound: VS2N2
Source: the Alexandria database
Functional: PBE
Structure: relaxed Values from VASP.

Quantum ESPRESSO input file:
```
&SYSTEM
  ibrav = 0, nat = 5, ntyp = 3
/
ATOMIC_SPECIES
S 32.06 S.upf
N 14.01 N.upf
V 50.94 V.upf
ATOMIC_POSITIONS crystal
S 0.5000 0.5000 0.5000
S 0.0000 0.0000 0.5000
N 0.0000 0.5000 0.0000
N 0.5000 0.0000 0.0000
V 0.0000 0.0000 0.0000
CELL_PARAMETERS angstrom
-1.6585 2.7491 -1.7618
-2.4987 0.2035 2.6697
3.0843 3.5379 2.6172
```

=====

*C*
Compound: VS2N2
Source: the Alexandria database
Functional: PBE
Structure: relaxed Values from VASP.

Quantum ESPRESSO input file:
```
&SYSTEM
  ibrav = 0, nat = 5, ntyp = 3
/
ATOMIC_SPECIES
S 32.06 S.upf
N 14.01 N.upf
V 50.94 V.upf
ATOMIC_POSITIONS crystal
S 0.0000 0.5000 0.0000
S 0.5000 0.0000 0.0000
N 0.5000 0.5000 0.5000
N 0.0000 0.0000 0.5000
V 0.0000 0.0000 0.0000
CELL_PARAMETERS angstrom
4.6471 0.0000 0.0000
0.0000 4.6471 0.0000
0.0000 0.0000 3.6976
```

=====

Which of them is the most stable? Correct choice: *A*.